A relaxed KSc2P crystal. Source: the Alexandria database, functional GGA-PBEsol.

POSCAR file:
```
KSc2P
1.0
4.119 0.000 0.000
0.000 4.119 0.000
-2.060 -2.060 5.051
K P Sc
1 1 2
Direct
0.500 0.500 0.000
0.250 0.750 0.500
0.000 0.000 0.000
0.750 0.250 0.500
```

Values from the calculation:
electronic total energy = -4.89 eV per atom
symmetry = I-4m2 (119)
magnetization = 0.00 μB/cell